[1]
The following is a DFT calculation (PBE) of CdFeOs4 after structural relaxation.

## Properties
Energy relative to the elements (eV per formula unit): 4.62

Cell and atoms, written as CIF:
```
data_CdFeOs4
_space_group_name_H-M_alt 'F -4 3 m'
_space_group_IT_number 216
_space_group_name_Hall 'F -4 2 3'
_cell_length_a 7.325
_cell_length_b 7.325
_cell_length_c 7.325
_cell_angle_alpha 90.00
_cell_angle_beta 90.00
_cell_angle_gamma 90.00
loop_
_atom_site_label
_atom_site_type_symbol
_atom_site_fract_x
_atom_site_fract_y
_atom_site_fract_z
_atom_site_occupancy
Cd1 Cd 0.000 0.000 0.000 1
Fe1 Fe 0.250 0.250 0.750 1
Os1 Os 0.125 0.125 0.375 1
```


[2]
The following is a DFT calculation (PBE) of HoGa2CuNi5 after structural relaxation.

## Properties
Energy relative to the elements (eV per formula unit): -0.79

Cell and atoms, written as CIF:
```
data_HoGa2CuNi5
_space_group_name_H-M_alt 'P 4/m m m'
_space_group_IT_number 123
_space_group_name_Hall '-P 4 2'
_cell_length_a 3.714
_cell_length_b 3.714
_cell_length_c 9.361
_cell_angle_alpha 90.00
_cell_angle_beta 90.00
_cell_angle_gamma 90.00
loop_
_atom_site_label
_atom_site_type_symbol
_atom_site_fract_x
_atom_site_fract_y
_atom_site_fract_z
_atom_site_occupancy
Ho1 Ho 0.000 0.000 0.000 1
Ga1 Ga 0.500 0.500 0.370 1
Cu1 Cu 0.000 0.000 0.500 1
Ni1 Ni 0.000 0.500 0.215 1
Ni2 Ni 0.500 0.500 0.000 1
```


[3]
The following is a DFT calculation (PBE) of ZnFe2Os after structural relaxation.

## Properties
Energy relative to the elements (eV per formula unit): 0.65

Cell and atoms, written as CIF:
```
data_ZnFe2Os
_space_group_name_H-M_alt 'P 4 m m'
_space_group_IT_number 99
_cell_length_a 2.941
_cell_length_b 2.941
_cell_length_c 5.923
_cell_angle_alpha 90.00
_cell_angle_beta 90.00
_cell_angle_gamma 90.00
loop_
_space_group_symop_operation_xyz
'x,y,z'
'-y,x,z'
'-x,-y,z'
'y,-x,z'
'-x,y,z'
'y,x,z'
'x,-y,z'
'-y,-x,z'
loop_
_atom_site_label
_atom_site_type_symbol
_atom_site_fract_x
_atom_site_fract_y
_atom_site_fract_z
_atom_site_occupancy
Zn1 Zn 0.000 0.000 0.000 1
Fe1 Fe 0.000 0.000 0.474 1
Fe2 Fe 0.500 0.500 0.250 1
Os1 Os 0.500 0.500 0.714 1
```


[4]
The following is a DFT calculation (PBE) of NbP2ClO after structural relaxation.

## Properties
Formation energy (no corrections) (meV/atom): 257
Polymorph energy (0 for the lowest one) (eV per formula unit): 2.38

Cell and atoms, written as CIF:
```
data_NbP2ClO
_space_group_name_H-M_alt 'P 4/m m m'
_space_group_IT_number 123
_space_group_name_Hall '-P 4 2'
_cell_length_a 3.828
_cell_length_b 3.828
_cell_length_c 5.089
_cell_angle_alpha 90.00
_cell_angle_beta 90.00
_cell_angle_gamma 90.00
loop_
_atom_site_label
_atom_site_type_symbol
_atom_site_fract_x
_atom_site_fract_y
_atom_site_fract_z
_atom_site_occupancy
Nb1 Nb 0.000 0.000 0.000 1
P1 P 0.000 0.500 0.500 1
Cl1 Cl 0.500 0.500 0.000 1
O1 O 0.500 0.500 0.500 1
```


[5]
The following is a DFT calculation (PBE) of HfAl3Ir after structural relaxation.

## Properties
Polymorph energy (0 for the lowest one) (eV per formula unit): 11.31
Energy relative to the elements (eV per formula unit): 8.29

Cell and atoms, written as CIF:
```
data_HfAl3Ir
_space_group_name_H-M_alt 'P m -3 m'
_space_group_IT_number 221
_space_group_name_Hall '-P 4 2 3'
_cell_length_a 4.966
_cell_length_b 4.966
_cell_length_c 4.966
_cell_angle_alpha 90.00
_cell_angle_beta 90.00
_cell_angle_gamma 90.00
loop_
_atom_site_label
_atom_site_type_symbol
_atom_site_fract_x
_atom_site_fract_y
_atom_site_fract_z
_atom_site_occupancy
Hf1 Hf 0.000 0.000 0.000 1
Al1 Al 0.000 0.000 0.500 1
Ir1 Ir 0.500 0.500 0.500 1
```


[6]
The following is a DFT calculation (PBE) of MgMo2Os after structural relaxation.

## Properties
Energy relative to the elements (eV per formula unit): 0.95

Cell and atoms, written as CIF:
```
data_MgMo2Os
_space_group_name_H-M_alt 'P 4/m m m'
_space_group_IT_number 123
_space_group_name_Hall '-P 4 2'
_cell_length_a 2.810
_cell_length_b 2.810
_cell_length_c 8.273
_cell_angle_alpha 90.00
_cell_angle_beta 90.00
_cell_angle_gamma 90.00
loop_
_atom_site_label
_atom_site_type_symbol
_atom_site_fract_x
_atom_site_fract_y
_atom_site_fract_z
_atom_site_occupancy
Mg1 Mg 0.000 0.000 0.000 1
Mo1 Mo 0.500 0.500 0.274 1
Os1 Os 0.000 0.000 0.500 1
```


no.,uncorrected energy (eV/atom)
1,-8.28
2,-4.94
3,-7.19
4,-5.28
5,-4.35
6,-8.38